Below is a relaxed Ca2AsPd6 crystal, with properties calculated at the GGA-PBE level.

ΔE_f: -0.63 eV/atom
Space group: No. 12

a b c (Å): 5.7531 5.7531 6.0390
angles (deg): 103.30 103.30 59.80
Last column: nearest neighbours and their distance in Å.
Positions (direct):
Ca  0.1401  0.1401  0.3326  9 Pd 2.98-3.21
Ca  0.8599  0.8599  0.6674  9 Pd 2.98-3.21
As  0.5000  0.5000  0.5000  6 Pd 2.45-2.49
Pd  0.1056  0.6210  0.1906  1 As 2.49, 2 Pd 2.77-2.78
Pd  0.3791  0.3791  0.8034  1 As 2.45
Pd  0.3790  0.8944  0.8094  1 As 2.49, 2 Pd 2.77-2.78
Pd  0.6210  0.1056  0.1906  1 As 2.49, 2 Pd 2.77-2.78
Pd  0.6209  0.6209  0.1966  1 As 2.45
Pd  0.8944  0.3790  0.8094  1 As 2.49, 2 Pd 2.77-2.78

=====

Below is a relaxed CaAsPd3 crystal, with properties calculated at the GGA-PBE level.

ΔE_f: -0.44 eV/atom
Space group: No. 119
Distance to the lowest polymorph of the same formula: 183.4 meV per atom

a b c (Å): 8.9433 8.9433 8.9433
angles (deg): 145.66 145.66 49.35
Last column: nearest neighbours and their distance in Å.
Positions (direct):
Ca  0.1385  0.1385  0.0000  6 Pd 2.96-3.19, 2 As 3.20
Ca  0.8615  0.8615  0.0000  6 Pd 2.96-3.19, 2 As 3.20
As  0.2500  0.7500  0.5000  4 Pd 2.41
As  0.5000  0.5000  0.0000  8 Pd 2.44-2.68
Pd  0.3735  0.1254  0.7519  2 As 2.41-2.44, 2 Pd 2.62-2.66
Pd  0.3735  0.6216  0.2481  2 As 2.41-2.44, 2 Pd 2.62-2.66
Pd  0.3784  0.6265  0.7519  2 As 2.41-2.44, 2 Pd 2.62-2.66
Pd  0.5284  0.0284  0.5000  2 As 2.68, 2 Pd 2.85
Pd  0.8746  0.6265  0.2481  2 As 2.41-2.44, 2 Pd 2.62-2.66
Pd  0.9716  0.4716  0.5000  2 As 2.68, 2 Pd 2.85

=====

Below is a relaxed Ca2As4Pd5 crystal, with properties calculated at the GGA-PBE level.

ΔE_f: -0.60 eV/atom
Space group: No. 69

a b c (Å): 9.1609 8.1501 5.8137
angles (deg): 80.09 61.21 38.69
Last column: nearest neighbours and their distance in Å.
Positions (direct):
Ca  0.1343  0.1343  0.8657  6 As 3.27-3.48, 10 Pd 3.40-3.56
Ca  0.8657  0.8657  0.1343  6 As 3.27-3.48, 10 Pd 3.40-3.56
As  0.2167  0.5303  0.4697  5 Pd 2.50-2.58
As  0.4697  0.7833  0.2167  5 Pd 2.50-2.58
As  0.5303  0.2167  0.7833  5 Pd 2.50-2.58
As  0.7833  0.4697  0.5303  5 Pd 2.50-2.58
Pd  0.0000  0.0000  0.5000  4 As 2.58, 2 Pd 2.85
Pd  0.2500  0.2500  0.2500  4 As 2.55
Pd  0.5000  0.5000  0.0000  4 As 2.58, 2 Pd 2.85
Pd  0.5000  0.5000  0.5000  4 As 2.50
Pd  0.7500  0.7500  0.7500  4 As 2.55

=====

Below is a relaxed Ca2As2Pd3 crystal, with properties calculated at the GGA-PBE level.

ΔE_f: -0.81 eV/atom
Space group: No. 12

a b c (Å): 5.5533 5.5533 7.0064
angles (deg): 111.58 111.58 43.78
Last column: nearest neighbours and their distance in Å.
Positions (direct):
Ca  0.1317  0.1317  0.2649  4 As 2.97-3.10, 7 Pd 3.10-3.27
Ca  0.8683  0.8683  0.7351  4 As 2.97-3.10, 7 Pd 3.10-3.27
As  0.1523  0.1523  0.7188  5 Pd 2.56-2.68
As  0.8477  0.8477  0.2812  5 Pd 2.56-2.68
Pd  0.3689  0.3689  0.0644  3 As 2.56-2.63, 1 Pd 2.81
Pd  0.5000  0.5000  0.5000  4 As 2.68, 2 Pd 2.81
Pd  0.6311  0.6311  0.9356  3 As 2.56-2.63, 1 Pd 2.81

=====

Below is a relaxed CaAsPd3 crystal, with properties calculated at the GGA-PBE level.

ΔE_f: -0.49 eV/atom
Space group: No. 221
Distance to the lowest polymorph of the same formula: 131.2 meV per atom

a b c (Å): 4.7330 4.7330 4.7330
angles (deg): 90.00 90.00 90.00
Last column: nearest neighbours and their distance in Å.
Positions (direct):
Ca  0.0000  0.0000  0.0000  12 Pd 3.35
As  0.5000  0.5000  0.5000  6 Pd 2.37
Pd  0.0000  0.5000  0.5000  2 As 2.37
Pd  0.5000  0.0000  0.5000  2 As 2.37
Pd  0.5000  0.5000  0.0000  2 As 2.37

=====

Below is a relaxed Ca2AsPd4 crystal, with properties calculated at the GGA-PBE level.

ΔE_f: -0.38 eV/atom
Space group: No. 139

a b c (Å): 8.0899 8.0899 8.0899
angles (deg): 146.23 146.23 48.50
Last column: nearest neighbours and their distance in Å.
Positions (direct):
Ca  0.1399  0.1399  0.0000  5 Pd 2.89-3.13
Ca  0.8601  0.8601  0.0000  5 Pd 2.89-3.13
As  0.5000  0.5000  0.0000  6 Pd 2.35-2.42
Pd  0.0000  0.5000  0.5000  2 As 2.35
Pd  0.3359  0.3359  0.0000  1 As 2.42
Pd  0.5000  0.0000  0.5000  2 As 2.35
Pd  0.6641  0.6641  0.0000  1 As 2.42

=====

Below is a relaxed CaAs3Pd4 crystal, with properties calculated at the GGA-PBE level.

ΔE_f: -0.59 eV/atom
Space group: No. 123

a b c (Å): 4.3123 4.3123 7.9982
angles (deg): 90.00 90.00 90.00
Last column: nearest neighbours and their distance in Å.
Positions (direct):
Ca  0.0000  0.0000  0.0000  8 As 3.29, 8 Pd 3.34
As  0.0000  0.0000  0.5000  8 Pd 2.60
As  0.5000  0.5000  0.1553  1 As 2.48, 4 Pd 2.52
As  0.5000  0.5000  0.8447  1 As 2.48, 4 Pd 2.52
Pd  0.0000  0.5000  0.3184  4 As 2.52-2.60
Pd  0.0000  0.5000  0.6816  4 As 2.52-2.60
Pd  0.5000  0.0000  0.3184  4 As 2.52-2.60
Pd  0.5000  0.0000  0.6816  4 As 2.52-2.60

=====

Below is a relaxed CaAs2Pd3 crystal, with properties calculated at the GGA-PBE level.

ΔE_f: -0.72 eV/atom
Space group: No. 12
Distance to the lowest polymorph of the same formula: 0.0 meV per atom

a b c (Å): 8.6950 8.6950 10.1436
angles (deg): 107.66 107.66 27.08
Last column: nearest neighbours and their distance in Å.
Positions (direct):
Ca  0.0000  0.0000  0.0000  6 Pd 3.14-3.15, 6 As 3.21-3.24
Ca  0.1524  0.1524  0.6954  6 As 3.08-3.28, 7 Pd 3.24-3.39
Ca  0.8476  0.8476  0.3046  6 As 3.08-3.28, 7 Pd 3.24-3.39
As  0.1992  0.1992  0.1328  6 Pd 2.50-2.62
As  0.3645  0.3645  0.5485  7 Pd 2.43-2.70
As  0.4593  0.4593  0.2193  4 Pd 2.52-2.71
As  0.5407  0.5407  0.7807  4 Pd 2.52-2.71
As  0.6355  0.6355  0.4515  7 Pd 2.43-2.70
As  0.8008  0.8008  0.8672  6 Pd 2.50-2.62
Pd  0.0447  0.0447  0.3242  4 As 2.53-2.63
Pd  0.2228  0.2228  0.3903  4 As 2.43-2.70
Pd  0.3182  0.3182  0.0364  4 As 2.50-2.62
Pd  0.3766  0.3766  0.8028  3 As 2.52-2.60
Pd  0.5000  0.5000  0.5000  4 As 2.49-2.71
Pd  0.6234  0.6234  0.1972  3 As 2.52-2.60
Pd  0.6818  0.6818  0.9636  4 As 2.50-2.62
Pd  0.7772  0.7772  0.6096  4 As 2.43-2.70
Pd  0.9553  0.9553  0.6758  4 As 2.53-2.63